Nd6Er3Tl (PBE, relaxed); raw total energy = -4.441 eV/atom; ΔH_f (0 K) = 0.03 eV per atom; E above lowest polymorph = 0.06 kcal/mol of atoms
1.0
4.9394 -10.2589 0.0000
4.9394 10.2589 0.0000
0.0000 0.0000 6.4780
Nd Er Tl
12 6 2
Direct
0.0199 0.9801 0.5000
0.0960 0.5291 0.0333
0.2642 0.3732 0.2495
0.2851 0.7149 0.4723
0.3732 0.2642 0.7495
0.4709 0.9040 0.0333
0.5291 0.0960 0.5333
0.6268 0.7358 0.2495
0.7149 0.2851 0.9723
0.7358 0.6268 0.7495
0.9040 0.4709 0.5333
0.9801 0.0199 0.0000
0.0445 0.2966 0.6719
0.2966 0.0445 0.1719
0.4109 0.5891 0.7773
0.5891 0.4109 0.2773
0.7034 0.9555 0.6719
0.9555 0.7034 0.1719
0.1542 0.8458 0.7570
0.8458 0.1542 0.2570

=====

BaPmTl (PBE, relaxed); raw total energy = -3.125 eV/atom; ΔH_f (0 K) = -0.11 eV per atom; E above lowest polymorph = 4.00 kcal/mol of atoms
1.0
5.6053 0.0000 0.0000
-2.8026 4.8543 0.0000
0.0000 0.0000 4.1494
Ba Pm Tl
1 1 1
Direct
0.0000 0.0000 0.0000
0.3333 0.6667 0.5506
0.6667 0.3333 0.4470

=====

Dy2GeO (PBE, relaxed); formation energy from raw total energies = -1569 meV per atom; raw total energy = -6.264 eV/atom; E above lowest polymorph = 4.24 kcal/mol of atoms
1.0
4.4663 0.0000 0.0000
-2.2332 3.8679 0.0000
0.0000 0.0000 20.8517
Dy Ge O
6 3 3
Direct
0.0000 0.0000 0.0975
0.0000 0.0000 0.9025
0.3333 0.6667 0.5692
0.3333 0.6667 0.7641
0.6667 0.3333 0.2359
0.6667 0.3333 0.4308
0.0000 0.0000 0.5000
0.3333 0.6667 0.1667
0.6667 0.3333 0.8333
0.0000 0.0000 0.0000
0.3333 0.6667 0.6667
0.6667 0.3333 0.3333

=====

BaGd3Os (PBE, relaxed); raw total energy = -11.136 eV/atom; ΔH_f (0 K) = -0.06 eV per atom
1.0
5.5877 0.0000 0.0000
0.0000 5.5877 0.0000
0.0000 0.0000 5.5877
Ba Gd Os
1 3 1
Direct
0.0000 0.0000 0.0000
0.0000 0.5000 0.5000
0.5000 0.0000 0.5000
0.5000 0.5000 0.0000
0.5000 0.5000 0.5000

=====

PmNd2Ni9 (PBE, relaxed); raw total energy = -5.845 eV/atom; ΔH_f (0 K) = -0.32 eV per atom
1.0
2.5156 1.4524 8.2682
-2.5156 1.4524 8.2682
0.0000 -2.9048 8.2682
Pm Nd Ni
1 2 9
Direct
0.0000 0.0000 0.0000
0.1385 0.1385 0.1385
0.8615 0.8615 0.8615
0.0814 0.5801 0.5801
0.3327 0.3327 0.3327
0.4199 0.4199 0.9186
0.4199 0.9186 0.4199
0.5000 0.5000 0.5000
0.5801 0.0814 0.5801
0.5801 0.5801 0.0814
0.6673 0.6673 0.6673
0.9186 0.4199 0.4199

=====

Ta2Br (PBE, relaxed); formation energy from raw total energies = 297 meV per atom; raw total energy = -8.162 eV/atom; E above lowest polymorph = 6.26 kcal/mol of atoms
1.0
18.7370 0.0000 0.0000
0.0000 3.2612 0.0000
-0.8802 0.0000 5.7188
Ta Br
8 4
Direct
0.1890 0.0000 0.3543
0.2156 0.0000 0.8436
0.2844 0.5000 0.1564
0.3110 0.5000 0.6457
0.6890 0.5000 0.3543
0.7156 0.5000 0.8436
0.7844 0.0000 0.1564
0.8110 0.0000 0.6457
0.0761 0.5000 0.2842
0.4239 0.0000 0.7158
0.5761 0.0000 0.2842
0.9239 0.5000 0.7158

=====

Ba4AlO5 (PBE, relaxed); formation energy from raw total energies = -2302 meV per atom; raw total energy = -5.924 eV/atom
1.0
-4.1203 4.1203 2.8199
4.1203 -4.1203 2.8199
4.1203 4.1203 -2.8199
Ba Al O
4 1 5
Direct
0.1076 0.7014 0.8089
0.2986 0.1076 0.4062
0.7014 0.8924 0.5938
0.8924 0.2986 0.1911
0.4484 0.4484 0.0000
0.1243 0.1243 0.0000
0.2903 0.4367 0.6945
0.4367 0.7422 0.1464
0.5958 0.2903 0.8536
0.7422 0.5958 0.3055

=====

Tl2SbAu2 (PBE, relaxed); formation energy from raw total energies = -29 meV per atom; raw total energy = -3.111 eV/atom; E above lowest polymorph = 0.71 kcal/mol of atoms
1.0
6.3493 -2.2353 0.0000
6.3493 2.2353 0.0000
-6.2332 0.0000 9.2438
Tl Sb Au
4 2 4
Direct
0.1040 0.1040 0.4074
0.3480 0.3480 0.8087
0.6520 0.6520 0.1913
0.8960 0.8960 0.5926
0.3503 0.3503 0.1427
0.6497 0.6497 0.8573
0.0777 0.0777 0.9447
0.3648 0.3648 0.4001
0.6352 0.6352 0.5999
0.9223 0.9223 0.0553

=====

Y2HOsAu (PBE, relaxed); raw total energy = -6.627 eV/atom
1.0
4.9376 0.0000 0.0000
0.0000 4.9376 0.0000
0.0000 0.0000 3.6646
Y H Os Au
2 1 1 1
Direct
0.0000 0.5000 0.0000
0.5000 0.0000 0.0000
0.0000 0.0000 0.0000
0.0000 0.0000 0.5000
0.5000 0.5000 0.5000

=====

CdBH2O4 (PBE, relaxed); raw total energy = -5.423 eV/atom
1.0
3.7487 0.0000 0.0000
0.0000 5.1476 0.0000
0.0000 0.0000 7.3216
Cd B H O
2 2 4 8
Direct
0.0000 0.0000 0.0000
0.5000 0.5000 0.5000
0.0000 0.0000 0.5000
0.5000 0.5000 0.0000
0.0000 0.5000 0.1409
0.0000 0.5000 0.8591
0.5000 0.0000 0.3591
0.5000 0.0000 0.6409
0.2382 0.1481 0.3771
0.2382 0.8519 0.6229
0.2618 0.3519 0.8771
0.2618 0.6481 0.1229
0.7382 0.3519 0.1229
0.7382 0.6481 0.8771
0.7618 0.1481 0.6229
0.7618 0.8519 0.3771

=====

AcNdNiRu (PBE, relaxed); raw total energy = -6.177 eV/atom; ΔH_f (0 K) = -0.19 eV per atom; E above lowest polymorph = 0.00 kcal/mol of atoms
1.0
4.1617 0.0000 0.0000
0.0000 4.1439 0.0000
0.0000 0.0000 11.3160
Ac Nd Ni Ru
2 2 2 2
Direct
0.0000 0.0000 0.0000
0.0000 0.5000 0.5000
0.5000 0.0000 0.2809
0.5000 0.5000 0.7809
0.5000 0.0000 0.5832
0.5000 0.5000 0.0832
0.0000 0.0000 0.7139
0.0000 0.5000 0.2139

=====

SrCeCdHg (PBE, relaxed); raw total energy = -2.487 eV/atom; ΔH_f (0 K) = -0.28 eV per atom
1.0
7.8411 0.0000 0.0000
0.0000 7.8411 0.0000
0.0000 0.0000 7.8411
Sr Ce Cd Hg
4 4 4 4
Direct
0.0000 0.0000 0.0000
0.0000 0.5000 0.5000
0.5000 0.0000 0.5000
0.5000 0.5000 0.0000
0.0000 0.0000 0.5000
0.0000 0.5000 0.0000
0.5000 0.0000 0.0000
0.5000 0.5000 0.5000
0.2500 0.2500 0.2500
0.2500 0.7500 0.7500
0.7500 0.2500 0.7500
0.7500 0.7500 0.2500
0.2500 0.2500 0.7500
0.2500 0.7500 0.2500
0.7500 0.2500 0.2500
0.7500 0.7500 0.7500